Run 1
Density functional theory data (GGA-PBE) for crystalline Ce6Tc2Ge at its relaxed geometry.

Geometry as CIF:
```
data_Ce6Tc2Ge
_chemical_formula_sum 'Ce6 Tc2 Ge1'
_space_group_name_H-M_alt 'P 1'
_space_group_IT_number 1
_cell_length_a 4.955
_cell_length_b 5.630
_cell_length_c 8.665
_cell_angle_alpha 95.80
_cell_angle_beta 90.00
_cell_angle_gamma 116.11
loop_
_space_group_symop_operation_xyz
'x,y,z'
loop_
_atom_site_label
_atom_site_fract_x
_atom_site_fract_y
_atom_site_fract_z
Ce1 0.309 0.618 0.394
Ce2 0.390 0.779 0.831
Tc1 0.727 0.453 0.881
Ge1 0.000 0.000 0.500
Tc2 0.273 0.547 0.119
Ce3 0.610 0.221 0.169
Ce4 0.953 0.906 0.146
Ce5 0.047 0.094 0.854
Ce6 0.691 0.382 0.606
```

## Properties
**V**: 215.64 Å³ per cell


Run 2
Density functional theory data (GGA-PBE) for crystalline Ce6Tc2Ge at its relaxed geometry.

Geometry as CIF:
```
data_Ce6Tc2Ge
_chemical_formula_sum 'Ce12 Tc4 Ge2'
_space_group_name_H-M_alt 'P 1'
_space_group_IT_number 1
_cell_length_a 8.327
_cell_length_b 8.327
_cell_length_c 8.327
_cell_angle_alpha 97.93
_cell_angle_beta 116.39
_cell_angle_gamma 114.68
loop_
_space_group_symop_operation_xyz
'x,y,z'
loop_
_atom_site_label
_atom_site_fract_x
_atom_site_fract_y
_atom_site_fract_z
Ce1 0.481 0.293 0.188
Ce2 0.174 0.244 0.419
Ce3 0.106 0.293 0.812
Tc1 0.500 0.363 0.863
Ce4 0.174 0.756 0.930
Tc2 0.676 0.000 0.676
Tc3 0.324 0.000 0.324
Ge1 0.000 0.500 0.500
Ce5 0.894 0.707 0.188
Ce6 0.697 0.031 0.334
Ce7 0.697 0.363 0.666
Ce8 0.826 0.244 0.070
Ge2 0.000 0.000 0.000
Tc4 0.500 0.637 0.137
Ce9 0.826 0.756 0.581
Ce10 0.303 0.637 0.334
Ce11 0.303 0.969 0.666
Ce12 0.519 0.707 0.812
```

## Properties
**V**: 431.30 Å³ per cell


run 1 has the most favorable energy; the next structure is 46 meV per atom above.


Run 1
Density functional theory data (GGA-PBE) for crystalline Ce2TcGe at its relaxed geometry.

Geometry as CIF:
```
data_Ce2TcGe
_chemical_formula_sum 'Ce4 Tc2 Ge2'
_space_group_name_H-M_alt 'P 1'
_space_group_IT_number 1
_cell_length_a 4.335
_cell_length_b 5.029
_cell_length_c 8.726
_cell_angle_alpha 90.00
_cell_angle_beta 104.34
_cell_angle_gamma 90.00
loop_
_space_group_symop_operation_xyz
'x,y,z'
loop_
_atom_site_label
_atom_site_fract_x
_atom_site_fract_y
_atom_site_fract_z
Ce1 0.088 0.750 0.175
Tc1 0.500 0.500 0.000
Ce2 0.727 0.750 0.454
Ge1 0.366 0.750 0.730
Ce3 0.273 0.250 0.546
Ce4 0.912 0.250 0.825
Tc2 0.500 0.000 0.000
Ge2 0.634 0.250 0.270
```

## Properties
**V**: 184.29 Å³ per cell


Run 2
Density functional theory data (GGA-PBE) for crystalline Ce2TcGe at its relaxed geometry.

Geometry as CIF:
```
data_Ce2TcGe
_chemical_formula_sum 'Ce2 Tc1 Ge1'
_space_group_name_H-M_alt 'P 1'
_space_group_IT_number 1
_cell_length_a 3.126
_cell_length_b 3.126
_cell_length_c 10.224
_cell_angle_alpha 81.21
_cell_angle_beta 81.21
_cell_angle_gamma 60.00
loop_
_space_group_symop_operation_xyz
'x,y,z'
loop_
_atom_site_label
_atom_site_fract_x
_atom_site_fract_y
_atom_site_fract_z
Ce1 0.919 0.919 0.244
Tc1 0.000 0.000 0.000
Ce2 0.081 0.081 0.756
Ge1 0.500 0.500 0.500
```

## Properties
**V**: 85.14 Å³ per cell


Run 3
Density functional theory data (GGA-PBE) for crystalline Ce2TcGe at its relaxed geometry.

Geometry as CIF:
```
data_Ce2TcGe
_chemical_formula_sum 'Ce4 Tc2 Ge2'
_space_group_name_H-M_alt 'P 1'
_space_group_IT_number 1
_cell_length_a 3.832
_cell_length_b 6.022
_cell_length_c 8.529
_cell_angle_alpha 110.43
_cell_angle_beta 90.00
_cell_angle_gamma 90.00
loop_
_space_group_symop_operation_xyz
'x,y,z'
loop_
_atom_site_label
_atom_site_fract_x
_atom_site_fract_y
_atom_site_fract_z
Ce1 0.750 0.221 0.453
Ce2 0.250 0.779 0.547
Ce3 0.750 0.689 0.904
Ge1 0.250 0.857 0.206
Ce4 0.250 0.311 0.096
Tc1 0.250 0.392 0.710
Tc2 0.750 0.608 0.290
Ge2 0.750 0.143 0.794
```

## Properties
**V**: 184.46 Å³ per cell


run 3 has the most favorable energy; the next structure is 123 meV per atom above.


Run 1
Density functional theory data (GGA-PBE) for crystalline Ce2TcGe at its relaxed geometry.

Geometry as CIF:
```
data_Ce2TcGe
_chemical_formula_sum 'Ce2 Tc1 Ge1'
_space_group_name_H-M_alt 'P 1'
_space_group_IT_number 1
_cell_length_a 4.131
_cell_length_b 4.483
_cell_length_c 4.483
_cell_angle_alpha 90.00
_cell_angle_beta 90.00
_cell_angle_gamma 90.00
loop_
_space_group_symop_operation_xyz
'x,y,z'
loop_
_atom_site_label
_atom_site_fract_x
_atom_site_fract_y
_atom_site_fract_z
Ge1 0.500 0.000 0.000
Ce1 0.000 0.000 0.500
Ce2 0.000 0.500 0.000
Tc1 0.500 0.500 0.500
```

## Properties
**V**: 83.03 Å³ per cell


Run 2
Density functional theory data (GGA-PBE) for crystalline Ce2TcGe at its relaxed geometry.

Geometry as CIF:
```
data_Ce2TcGe
_chemical_formula_sum 'Ce2 Tc1 Ge1'
_space_group_name_H-M_alt 'P 1'
_space_group_IT_number 1
_cell_length_a 5.004
_cell_length_b 5.004
_cell_length_c 5.004
_cell_angle_alpha 60.00
_cell_angle_beta 60.00
_cell_angle_gamma 60.00
loop_
_space_group_symop_operation_xyz
'x,y,z'
loop_
_atom_site_label
_atom_site_fract_x
_atom_site_fract_y
_atom_site_fract_z
Ce1 0.750 0.750 0.750
Ce2 0.250 0.250 0.250
Tc1 0.000 0.000 0.000
Ge1 0.500 0.500 0.500
```

## Properties
**V**: 88.58 Å³ per cell


run 1 has the most favorable energy; the next structure is 137 meV per atom above.


Run 1
Density functional theory data (GGA-PBE) for crystalline CeTc3Ge3 at its relaxed geometry.

Geometry as CIF:
```
data_CeTc3Ge3
_chemical_formula_sum 'Ce2 Tc6 Ge6'
_space_group_name_H-M_alt 'P 1'
_space_group_IT_number 1
_cell_length_a 6.787
_cell_length_b 6.787
_cell_length_c 6.787
_cell_angle_alpha 90.00
_cell_angle_beta 90.00
_cell_angle_gamma 90.00
loop_
_space_group_symop_operation_xyz
'x,y,z'
loop_
_atom_site_label
_atom_site_fract_x
_atom_site_fract_y
_atom_site_fract_z
Tc1 0.500 0.750 0.000
Tc2 0.750 0.000 0.500
Ce1 0.500 0.500 0.500
Ge1 0.500 0.000 0.750
Tc3 0.500 0.250 0.000
Ge2 0.000 0.250 0.500
Ge3 0.250 0.500 0.000
Tc4 0.000 0.500 0.250
Ge4 0.000 0.750 0.500
Ge5 0.500 0.000 0.250
Tc5 0.000 0.500 0.750
Tc6 0.250 0.000 0.500
Ge6 0.750 0.500 0.000
Ce2 0.000 0.000 0.000
```

## Properties
**V**: 312.61 Å³ per cell


Run 2
Density functional theory data (GGA-PBE) for crystalline CeTc3Ge3 at its relaxed geometry.

Geometry as CIF:
```
data_CeTc3Ge3
_chemical_formula_sum 'Ce2 Tc6 Ge6'
_space_group_name_H-M_alt 'P 1'
_space_group_IT_number 1
_cell_length_a 6.425
_cell_length_b 6.425
_cell_length_c 8.315
_cell_angle_alpha 67.27
_cell_angle_beta 67.27
_cell_angle_gamma 60.00
loop_
_space_group_symop_operation_xyz
'x,y,z'
loop_
_atom_site_label
_atom_site_fract_x
_atom_site_fract_y
_atom_site_fract_z
Tc1 0.437 0.220 0.408
Tc2 0.066 0.563 0.592
Ce1 0.682 0.682 0.955
Tc3 0.934 0.437 0.408
Ce2 0.318 0.318 0.045
Ge1 0.204 0.696 0.234
Ge2 0.134 0.796 0.766
Tc4 0.563 0.780 0.592
Ge3 0.866 0.204 0.234
Tc5 0.780 0.066 0.592
Ge4 0.696 0.866 0.234
Tc6 0.220 0.934 0.408
Ge5 0.796 0.304 0.766
Ge6 0.304 0.134 0.766
```

## Properties
**V**: 266.04 Å³ per cell


run 2 has the most favorable energy; the next structure is 470 meV per atom above.


Run 1
Density functional theory data (GGA-PBE) for crystalline Ce3Tc2Ge3 at its relaxed geometry.

Geometry as CIF:
```
data_Ce3Tc2Ge3
_chemical_formula_sum 'Ce3 Tc2 Ge3'
_space_group_name_H-M_alt 'P 1'
_space_group_IT_number 1
_cell_length_a 4.104
_cell_length_b 4.604
_cell_length_c 9.421
_cell_angle_alpha 104.14
_cell_angle_beta 102.58
_cell_angle_gamma 90.00
loop_
_space_group_symop_operation_xyz
'x,y,z'
loop_
_atom_site_label
_atom_site_fract_x
_atom_site_fract_y
_atom_site_fract_z
Ce1 0.363 0.363 0.725
Ce2 0.500 0.000 0.000
Ge1 0.830 0.830 0.661
Tc1 0.246 0.746 0.492
Ge2 0.170 0.170 0.339
Tc2 0.754 0.254 0.508
Ge3 0.000 0.500 0.000
Ce3 0.637 0.637 0.275
```

## Properties
**V**: 168.20 Å³ per cell


Run 2
Density functional theory data (GGA-PBE) for crystalline Ce3Tc2Ge3 at its relaxed geometry.

Geometry as CIF:
```
data_Ce3Tc2Ge3
_chemical_formula_sum 'Ce12 Tc8 Ge12'
_space_group_name_H-M_alt 'P 1'
_space_group_IT_number 1
_cell_length_a 5.360
_cell_length_b 8.505
_cell_length_c 14.841
_cell_angle_alpha 90.00
_cell_angle_beta 90.00
_cell_angle_gamma 90.00
loop_
_space_group_symop_operation_xyz
'x,y,z'
loop_
_atom_site_label
_atom_site_fract_x
_atom_site_fract_y
_atom_site_fract_z
Tc1 0.599 0.562 0.405
Ce1 0.605 0.323 0.250
Ge1 0.590 0.334 0.750
Ge2 0.619 0.288 0.037
Ce2 0.395 0.677 0.750
Tc2 0.901 0.062 0.405
Ce3 0.102 0.471 0.113
Ge3 0.119 0.212 0.537
Ge4 0.619 0.288 0.463
Tc3 0.401 0.438 0.595
Ge5 0.410 0.666 0.250
Ge6 0.119 0.212 0.963
Tc4 0.599 0.562 0.095
Ce4 0.895 0.823 0.250
Ge7 0.381 0.712 0.963
Ge8 0.881 0.788 0.463
Ce5 0.602 0.029 0.613
Ce6 0.105 0.177 0.750
Ce7 0.398 0.971 0.387
Ce8 0.102 0.471 0.387
Ce9 0.898 0.529 0.613
Ce10 0.398 0.971 0.113
Ge9 0.381 0.712 0.537
Tc5 0.099 0.938 0.905
Tc6 0.099 0.938 0.595
Ce11 0.602 0.029 0.887
Tc7 0.401 0.438 0.905
Tc8 0.901 0.062 0.095
Ce12 0.898 0.529 0.887
Ge10 0.090 0.166 0.250
Ge11 0.910 0.834 0.750
Ge12 0.881 0.788 0.037
```

## Properties
**V**: 676.56 Å³ per cell


run 2 has the most favorable energy; the next structure is 60 meV per atom above.


Run 1
Density functional theory data (GGA-PBE) for crystalline Ce5GeTe4 at its relaxed geometry.

Geometry as CIF:
```
data_Ce5GeTe4
_chemical_formula_sum 'Ce5 Ge1 Te4'
_space_group_name_H-M_alt 'P 1'
_space_group_IT_number 1
_cell_length_a 4.446
_cell_length_b 4.446
_cell_length_c 16.029
_cell_angle_alpha 97.97
_cell_angle_beta 97.97
_cell_angle_gamma 90.00
loop_
_space_group_symop_operation_xyz
'x,y,z'
loop_
_atom_site_label
_atom_site_fract_x
_atom_site_fract_y
_atom_site_fract_z
Ge1 0.000 0.000 0.000
Ce1 0.094 0.094 0.189
Te1 0.399 0.399 0.799
Ce2 0.500 0.500 0.000
Te2 0.601 0.601 0.201
Ce3 0.298 0.298 0.596
Te3 0.197 0.197 0.394
Ce4 0.702 0.702 0.404
Te4 0.803 0.803 0.606
Ce5 0.906 0.906 0.811
```

## Properties
**V**: 310.75 Å³ per cell


Run 2
Density functional theory data (GGA-PBE) for crystalline Ce5GeTe4 at its relaxed geometry.

Geometry as CIF:
```
data_Ce5GeTe4
_chemical_formula_sum 'Ce5 Ge1 Te4'
_space_group_name_H-M_alt 'P 1'
_space_group_IT_number 1
_cell_length_a 6.296
_cell_length_b 7.708
_cell_length_c 7.708
_cell_angle_alpha 80.40
_cell_angle_beta 65.89
_cell_angle_gamma 65.89
loop_
_space_group_symop_operation_xyz
'x,y,z'
loop_
_atom_site_label
_atom_site_fract_x
_atom_site_fract_y
_atom_site_fract_z
Te1 0.805 0.791 0.602
Ce1 0.099 0.617 0.187
Te2 0.198 0.209 0.398
Ce2 0.903 0.383 0.813
Ce3 0.286 0.813 0.617
Te3 0.595 0.602 0.209
Ce4 0.501 0.000 0.000
Te4 0.407 0.398 0.791
Ge1 0.001 0.000 0.000
Ce5 0.716 0.187 0.383
```

## Properties
**V**: 311.64 Å³ per cell


run 2 has the most favorable energy; the next structure is 21 meV per atom above.